(1)
VASP calculation (PBE) on a relaxed structure of AlCo2P.

Cell lengths 3.466, 4.013, 6.564 Å; angles 90.00, 90.00, 90.00 degrees
Space group Immm (No. 71)
Inequivalent atoms, fractional coordinates:
1 Al 0.000 0.000 0.000
2 Co 0.000 0.500 0.208
3 P 0.000 0.000 0.500

Properties
- Energy relative to the elements: -0.380 eV/atom

=====

(2)
VASP calculation (PBE) on a relaxed structure of Ho3Pd2.

Cell lengths 17.757, 4.246, 10.607 Å; angles 90.00, 97.59, 90.00 degrees
Space group C2/m (No. 12)
Inequivalent atoms, fractional coordinates:
1 Ho 0.000 0.000 0.000
2 Ho 0.037 0.000 0.659
3 Ho 0.125 0.500 0.278
4 Ho 0.171 0.500 0.955
5 Ho 0.207 0.500 0.616
6 Pd 0.027 0.500 0.826
7 Pd 0.134 0.000 0.463
8 Pd 0.186 0.000 0.138

Properties
- Energy relative to the elements: -0.645 eV/atom

=====

(3)
VASP calculation (PBE) on a relaxed structure of MgTc2O.

Cell lengths 7.238, 7.238, 4.211 Å; angles 90.00, 90.00, 90.00 degrees
Space group I-42d (No. 122)
Inequivalent atoms, fractional coordinates:
1 Mg 0.000 0.000 0.000
2 Tc 0.161 0.250 0.625
3 O 0.000 0.000 0.500

Properties
- Raw formation energy: -0.06 eV per atom

=====

Going through the records in order, we get energy relative to the lowest polymorph listed for this composition values of 23 101 0 meV per atom.